Compound: GaSn3Au
Source: Alexandria
Functional: PBE
Structure: optimized geometry

Values from the calculation:
Energy above the lowest structure with this stoichiometry, eV per atom: 0.0000
ρ, g/cm³: 8.4

```
data_GaSn3Au
_cell_length_a 6.9571
_cell_length_b 6.9571
_cell_length_c 12.4014
_cell_angle_alpha 104.19
_cell_angle_beta 104.19
_cell_angle_gamma 59.30
_space_group_name_H-M_alt 'P 1'
_space_group_IT_number 1
loop_
_space_group_symop_operation_xyz
'x,y,z'
loop_
_atom_site_label
_atom_site_fract_x
_atom_site_fract_y
_atom_site_fract_z
Ga1 0.0365 0.1731 0.1667
Ga2 0.1731 0.0365 0.6667
Ga3 0.8269 0.9635 0.3333
Ga4 0.9635 0.8269 0.8333
Sn1 0.1080 0.3378 0.8953
Sn2 0.2577 0.6888 0.4760
Sn3 0.2805 0.4280 0.7089
Sn4 0.3112 0.7423 0.0240
Sn5 0.3378 0.1080 0.3953
Sn6 0.4280 0.2805 0.2089
Sn7 0.5720 0.7195 0.7911
Sn8 0.6622 0.8920 0.6047
Sn9 0.6888 0.2577 0.9760
Sn10 0.7195 0.5720 0.2911
Sn11 0.7423 0.3112 0.5240
Sn12 0.8920 0.6622 0.1047
Au1 0.0000 0.5000 0.5000
Au2 0.2318 0.7682 0.2500
Au3 0.5000 0.0000 0.0000
Au4 0.7682 0.2318 0.7500
```